Record 1
This record from Alexandria describes a relaxed LaCu2I crystal. The functional is PBE.

Structure (POSCAR):
```
LaCu2I
1.0
0.0000 3.5984 3.5984
3.5984 0.0000 3.5984
3.5984 3.5984 0.0000
La Cu I
1 2 1
Cartesian
0.0000 0.0000 0.0000
1.7992 1.7992 1.7992
5.3976 5.3976 5.3976
3.5984 3.5984 3.5984
```

Summary:
The energy above the most stable polymorph in this dataset comes out at 31.3 meV/atom. As for the symmetry: No. 225. The value obtained for the total DFT energy (no corrections) is -3.636 eV per atom. The formation energy from raw total energies is 31.1 meV/atom. For the magnetization, the calculation gives 0.0 μB per cell.



Record 2
This record from Alexandria describes a relaxed La2CuI crystal. The functional is PBE.

Structure (POSCAR):
```
La2CuI
1.0
3.6693 0.0000 0.0000
0.0000 3.6693 0.0000
0.0000 0.0000 8.4996
La Cu I
2 1 1
Cartesian
0.0000 0.0000 1.8431
0.0000 0.0000 6.6565
1.8346 1.8346 0.0000
1.8346 1.8346 4.2498
```

Summary:
The energy above the most stable polymorph in this dataset comes out at 76.5 meV/atom. As for the symmetry: No. 123. The value obtained for the total DFT energy (no corrections) is -4.358 eV per atom. The formation energy from raw total energies is -482.4 meV/atom. For the magnetization, the calculation gives 0.1 μB per cell.